(1)
A crystal of HoPb3 relaxed with PBEsol, computed with meta-GGA SCAN.

Values from the calculation:
Calculated total energy: -69.465 eV per atom
Crystal system: cubic
Space-group type: Pm-3m (221)

Lattice parameters (Å, degrees): 4.7776 4.7776 4.7776 90.00 90.00 90.00
Sites, in units of the cell vectors:
Ho 0.0000 0.0000 0.0000
Pb 0.0000 0.5000 0.5000
Pb 0.5000 0.0000 0.5000
Pb 0.5000 0.5000 0.0000

=====

(2)
A crystal of Ho14Pb3S24 relaxed with PBEsol, computed with meta-GGA SCAN.

Values from the calculation:
Crystal system: monoclinic
Formation energy without anion corrections: -2021 meV per atom
Space-group type: C2 (5)

Lattice parameters (Å, degrees): 7.1347 7.1347 18.5063 104.91 104.91 70.24
Sites, in units of the cell vectors:
Ho 0.0067 0.0067 0.1310
Ho 0.0435 0.2947 0.3383
Ho 0.2076 0.7098 0.3042
Ho 0.2902 0.7924 0.6958
Ho 0.3165 0.3315 0.5382
Ho 0.3299 0.3368 0.7869
Ho 0.5375 0.0420 0.9617
Ho 0.6322 0.1197 0.3792
Ho 0.6632 0.6701 0.2131
Ho 0.6685 0.6835 0.4618
Ho 0.7053 0.9565 0.6617
Ho 0.8803 0.3678 0.6208
Ho 0.9580 0.4625 0.0383
Ho 0.9933 0.9933 0.8690
Pb 0.3751 0.6249 0.0000
Pb 0.4570 0.2138 0.1697
Pb 0.7862 0.5430 0.8303
S 0.0021 0.1314 0.7436
S 0.0045 0.6470 0.7437
S 0.0128 0.6671 0.5814
S 0.0382 0.4096 0.2078
S 0.1894 0.3137 0.9107
S 0.2012 0.0791 0.0323
S 0.2516 0.6280 0.1377
S 0.2679 0.1204 0.6331
S 0.3329 0.9872 0.4186
S 0.3394 0.4646 0.4160
S 0.3530 0.9955 0.2563
S 0.3720 0.7484 0.8623
S 0.5354 0.6606 0.5840
S 0.5383 0.4009 0.6949
S 0.5904 0.9618 0.7922
S 0.5991 0.4617 0.3051
S 0.6847 0.3088 0.0832
S 0.6863 0.8106 0.0893
S 0.6912 0.3153 0.9168
S 0.6983 0.0823 0.5353
S 0.8686 0.9979 0.2564
S 0.8796 0.7321 0.3669
S 0.9177 0.3017 0.4647
S 0.9209 0.7988 0.9677

=====

(3)
A crystal of HoPd3 relaxed with PBEsol, computed with meta-GGA SCAN.

Values from the calculation:
Calculated total energy: -37.793 eV per atom
Crystal system: cubic
Space-group type: Pm-3m (221)

Lattice parameters (Å, degrees): 4.0339 4.0339 4.0339 90.00 90.00 90.00
Sites, in units of the cell vectors:
Ho 0.0000 0.0000 0.0000
Pd 0.0000 0.5000 0.5000
Pd 0.5000 0.0000 0.5000
Pd 0.5000 0.5000 0.0000

=====

(4)
A crystal of Ho3Pd4 relaxed with PBEsol, computed with meta-GGA SCAN.

Values from the calculation:
Calculated total energy: -40.757 eV per atom
Crystal system: trigonal
Space-group type: R-3 (148)

Lattice parameters (Å, degrees): 7.7034 7.7034 7.7034 114.26 114.26 114.26
Sites, in units of the cell vectors:
Ho 0.0241 0.2765 0.4052
Ho 0.2765 0.4052 0.0241
Ho 0.4052 0.0241 0.2765
Ho 0.5948 0.9759 0.7235
Ho 0.7235 0.5948 0.9759
Ho 0.9759 0.7235 0.5948
Pd 0.0000 0.0000 0.0000
Pd 0.0626 0.5475 0.2273
Pd 0.2273 0.0626 0.5475
Pd 0.4525 0.7727 0.9374
Pd 0.5000 0.5000 0.5000
Pd 0.5475 0.2273 0.0626
Pd 0.7727 0.9374 0.4525
Pd 0.9374 0.4525 0.7727

=====

(5)
A crystal of HoPd3S4 relaxed with PBEsol, computed with meta-GGA SCAN.

Values from the calculation:
Crystal system: cubic
Formation energy without anion corrections: -1020 meV per atom
Space-group type: Pm-3n (223)

Lattice parameters (Å, degrees): 6.5797 6.5797 6.5797 90.00 90.00 90.00
Sites, in units of the cell vectors:
Ho 0.0000 0.0000 0.0000
Ho 0.5000 0.5000 0.5000
Pd 0.0000 0.2500 0.5000
Pd 0.0000 0.7500 0.5000
Pd 0.2500 0.5000 0.0000
Pd 0.5000 0.0000 0.2500
Pd 0.5000 0.0000 0.7500
Pd 0.7500 0.5000 0.0000
S 0.2500 0.2500 0.2500
S 0.2500 0.2500 0.7500
S 0.2500 0.7500 0.2500
S 0.2500 0.7500 0.7500
S 0.7500 0.2500 0.2500
S 0.7500 0.2500 0.7500
S 0.7500 0.7500 0.2500
S 0.7500 0.7500 0.7500

=====

(6)
A crystal of Ho3Sb4Pd8 relaxed with PBEsol, computed with meta-GGA SCAN.

Values from the calculation:
Crystal system: cubic
Formation energy without anion corrections: -910 meV per atom
Space-group type: Fm-3m (225)

Lattice parameters (Å, degrees): 9.2105 9.2105 9.2105 60.00 60.00 60.00
Sites, in units of the cell vectors:
Ho 0.2252 0.2252 0.7748
Ho 0.2252 0.7748 0.2252
Ho 0.2252 0.7748 0.7748
Ho 0.7748 0.2252 0.2252
Ho 0.7748 0.2252 0.7748
Ho 0.7748 0.7748 0.2252
Sb 0.0000 0.0000 0.0000
Sb 0.0000 0.0000 0.5000
Sb 0.0000 0.5000 0.0000
Sb 0.0000 0.5000 0.5000
Sb 0.5000 0.0000 0.0000
Sb 0.5000 0.0000 0.5000
Sb 0.5000 0.5000 0.0000
Sb 0.5000 0.5000 0.5000
Pd 0.1435 0.6188 0.6188
Pd 0.1672 0.1672 0.1672
Pd 0.1672 0.1672 0.4985
Pd 0.1672 0.4985 0.1672
Pd 0.3812 0.3812 0.3812
Pd 0.3812 0.3812 0.8565
Pd 0.3812 0.8565 0.3812
Pd 0.4985 0.1672 0.1672
Pd 0.5015 0.8328 0.8328
Pd 0.6188 0.1435 0.6188
Pd 0.6188 0.6188 0.1435
Pd 0.6188 0.6188 0.6188
Pd 0.8328 0.5015 0.8328
Pd 0.8328 0.8328 0.5015
Pd 0.8328 0.8328 0.8328
Pd 0.8565 0.3812 0.3812

=====

(7)
A crystal of Ho5Sb2Pd relaxed with PBEsol, computed with meta-GGA SCAN.

Values from the calculation:
Crystal system: orthorhombic
Formation energy without anion corrections: -931 meV per atom
Space-group type: Pnma (62)

Lattice parameters (Å, degrees): 11.9414 8.8186 7.7775 90.00 90.00 90.00
Sites, in units of the cell vectors:
Ho 0.0009 0.2500 0.0400
Ho 0.0679 0.0469 0.6828
Ho 0.0679 0.4531 0.6828
Ho 0.2012 0.7500 0.3646
Ho 0.2147 0.2500 0.3343
Ho 0.2853 0.7500 0.8343
Ho 0.2988 0.2500 0.8646
Ho 0.4321 0.5469 0.1828
Ho 0.4321 0.9531 0.1828
Ho 0.4991 0.7500 0.5400
Ho 0.5009 0.2500 0.4600
Ho 0.5679 0.0469 0.8172
Ho 0.5679 0.4531 0.8172
Ho 0.7012 0.7500 0.1354
Ho 0.7147 0.2500 0.1657
Ho 0.7853 0.7500 0.6657
Ho 0.7988 0.2500 0.6354
Ho 0.9321 0.5469 0.3172
Ho 0.9321 0.9531 0.3172
Ho 0.9991 0.7500 0.9600
Sb 0.1732 0.5081 0.0673
Sb 0.1732 0.9919 0.0673
Sb 0.3268 0.0081 0.5673
Sb 0.3268 0.4919 0.5673
Sb 0.6732 0.5081 0.4327
Sb 0.6732 0.9919 0.4327
Sb 0.8268 0.0081 0.9327
Sb 0.8268 0.4919 0.9327
Pd 0.0153 0.7500 0.5830
Pd 0.4847 0.2500 0.0830
Pd 0.5153 0.7500 0.9170
Pd 0.9847 0.2500 0.4170

=====

(8)
A crystal of HoSiPd2 relaxed with PBEsol, computed with meta-GGA SCAN.

Values from the calculation:
Crystal system: orthorhombic
Formation energy without anion corrections: -1071 meV per atom
Space-group type: Pnma (62)

Lattice parameters (Å, degrees): 7.2079 6.8914 5.4389 90.00 90.00 90.00
Sites, in units of the cell vectors:
Ho 0.0280 0.2500 0.1403
Ho 0.4720 0.7500 0.6403
Ho 0.5280 0.2500 0.3597
Ho 0.9720 0.7500 0.8597
Si 0.1209 0.7500 0.3588
Si 0.3791 0.2500 0.8588
Si 0.6209 0.7500 0.1412
Si 0.8791 0.2500 0.6412
Pd 0.1782 0.0519 0.5934
Pd 0.1782 0.4481 0.5934
Pd 0.3218 0.5519 0.0934
Pd 0.3218 0.9481 0.0934
Pd 0.6782 0.0519 0.9066
Pd 0.6782 0.4481 0.9066
Pd 0.8218 0.5519 0.4066
Pd 0.8218 0.9481 0.4066

=====

(9)
A crystal of HoSnPd2 relaxed with PBEsol, computed with meta-GGA SCAN.

Values from the calculation:
Calculated total energy: -38.548 eV per atom
Crystal system: cubic
Space-group type: Fm-3m (225)

Lattice parameters (Å, degrees): 4.7097 4.7097 4.7097 60.00 60.00 60.00
Sites, in units of the cell vectors:
Ho 0.0000 0.0000 0.0000
Sn 0.5000 0.5000 0.5000
Pd 0.2500 0.2500 0.2500
Pd 0.7500 0.7500 0.7500

=====

(10)
A crystal of HoTmPd2 relaxed with PBEsol, computed with meta-GGA SCAN.

Values from the calculation:
Calculated total energy: -42.616 eV per atom
Crystal system: cubic
Space-group type: Fm-3m (225)

Lattice parameters (Å, degrees): 4.8373 4.8373 4.8373 60.00 60.00 60.00
Sites, in units of the cell vectors:
Ho 0.0000 0.0000 0.0000
Tm 0.5000 0.5000 0.5000
Pd 0.2500 0.2500 0.2500
Pd 0.7500 0.7500 0.7500

=====

(11)
A crystal of HoZnPd2 relaxed with PBEsol, computed with meta-GGA SCAN.

Values from the calculation:
Calculated total energy: -32.797 eV per atom
Crystal system: cubic
Space-group type: Fm-3m (225)

Lattice parameters (Å, degrees): 4.5759 4.5759 4.5759 60.00 60.00 60.00
Sites, in units of the cell vectors:
Ho 0.0000 0.0000 0.0000
Zn 0.5000 0.5000 0.5000
Pd 0.2500 0.2500 0.2500
Pd 0.7500 0.7500 0.7500

=====

(12)
A crystal of PmHo relaxed with PBEsol, computed with meta-GGA SCAN.

Values from the calculation:
Calculated total energy: -46.458 eV per atom
Crystal system: hexagonal
Space-group type: P-6m2 (187)

Lattice parameters (Å, degrees): 3.5542 3.5542 5.6380 90.00 90.00 120.00
Sites, in units of the cell vectors:
Pm 0.0000 0.0000 0.0000
Ho 0.6667 0.3333 0.5000